No. 1
The following is a DFT calculation (GGA-PBE) of a relaxed Mg2CuAgAs2 crystal.

a = 7.5734 Å, b = 4.2650 Å, c = 14.3009 Å
α = 90.00°, β = 98.36°, γ = 90.00°
Sites, in units of the cell vectors:
Ag1 0.7454 0.5000 0.7513
Ag2 0.5033 0.5000 0.9942
Ag3 0.2476 0.5000 0.2494
Ag4 0.7573 0.0000 0.2551
As1 0.0606 0.0000 0.1770
As2 0.8174 0.0000 0.4490
As3 0.8338 0.5000 0.9422
As4 0.3137 0.5000 0.4442
As5 0.5638 0.5000 0.1870
As6 0.0682 0.5000 0.6850
As7 0.5409 0.0000 0.6815
As8 0.2975 0.0000 0.9262
Mg1 0.7056 0.0000 0.0646
Mg2 0.4408 0.0000 0.3177
Mg3 0.9452 0.5000 0.3250
Mg4 0.1871 0.0000 0.5618
Mg5 0.6804 0.5000 0.5610
Mg6 0.4140 0.5000 0.8031
Mg7 0.9483 0.0000 0.8151
Mg8 0.1834 0.5000 0.0580
Cu1 0.4969 0.0000 0.5021
Cu2 0.0072 0.0000 0.9975
Cu3 0.0000 0.5000 0.5083
Cu4 0.2415 0.0000 0.7440

Uncorrected energy   -82.2 eV for the cell shown
Symmetry   Pm, No. 6



No. 2
The following is a DFT calculation (GGA-PBE) of a relaxed MgCuAgAs crystal.

a = 4.5816 Å, b = 4.5816 Å, c = 4.5816 Å
α = 60.00°, β = 60.00°, γ = 60.00°
Sites, in units of the cell vectors:
Mg1 0.2500 0.2500 0.2500
As1 0.0000 0.0000 0.0000
Ag1 0.5000 0.5000 0.5000
Cu1 0.7500 0.7500 0.7500

Offset from the most stable computed form   0 meV/atom
Uncorrected energy   -12.8 eV for the cell shown
Symmetry   F-43m, No. 216



No. 3
The following is a DFT calculation (GGA-PBE) of a relaxed CuAgMoAs crystal.

a = 4.4300 Å, b = 4.4300 Å, c = 4.4300 Å
α = 60.00°, β = 60.00°, γ = 60.00°
Sites, in units of the cell vectors:
As1 0.0000 0.0000 0.0000
Mo1 0.2500 0.2500 0.2500
Cu1 0.7500 0.7500 0.7500
Ag1 0.5000 0.5000 0.5000

Offset from the most stable computed form   0 meV/atom
Total magnetization   0.05 μB per formula unit
Uncorrected energy   -20.4 eV for the cell shown
Symmetry   F-43m, No. 216



No. 4
The following is a DFT calculation (GGA-PBE) of a relaxed NbCuAgAs crystal.

a = 4.5119 Å, b = 4.5119 Å, c = 4.5119 Å
α = 60.00°, β = 60.00°, γ = 60.00°
Sites, in units of the cell vectors:
Ag1 0.5000 0.5000 0.5000
Nb1 0.2500 0.2500 0.2500
As1 0.0000 0.0000 0.0000
Cu1 0.7500 0.7500 0.7500

Offset from the most stable computed form   0 meV/atom
Total magnetization   0.01 μB per formula unit
Uncorrected energy   -20.4 eV for the cell shown
Symmetry   F-43m, No. 216



No. 5
The following is a DFT calculation (GGA-PBE) of a relaxed CuNiAgAs crystal.

a = 4.3608 Å, b = 4.3608 Å, c = 4.3608 Å
α = 60.00°, β = 60.00°, γ = 60.00°
Sites, in units of the cell vectors:
As1 0.0000 0.0000 0.0000
Ni1 0.5000 0.5000 0.5000
Cu1 0.7500 0.7500 0.7500
Ag1 0.2500 0.2500 0.2500

Offset from the most stable computed form   145 meV/atom
Total magnetization   0.01 μB per formula unit
Uncorrected energy   -15.8 eV for the cell shown
Symmetry   F-43m, No. 216



No. 6
The following is a DFT calculation (GGA-PBE) of a relaxed CuNiAgAs crystal.

a = 4.3295 Å, b = 4.3295 Å, c = 4.3295 Å
α = 60.00°, β = 60.00°, γ = 60.00°
Sites, in units of the cell vectors:
Ni1 0.2500 0.2500 0.2500
As1 0.0000 0.0000 0.0000
Ag1 0.5000 0.5000 0.5000
Cu1 0.7500 0.7500 0.7500

Offset from the most stable computed form   0 meV/atom
Total magnetization   0.00 μB per formula unit
Uncorrected energy   -16.4 eV for the cell shown
Symmetry   F-43m, No. 216



No. 7
The following is a DFT calculation (GGA-PBE) of a relaxed CuAgAsOs crystal.

a = 4.4038 Å, b = 4.4038 Å, c = 4.4038 Å
α = 60.00°, β = 60.00°, γ = 60.00°
Sites, in units of the cell vectors:
Os1 0.2500 0.2500 0.2500
Cu1 0.7500 0.7500 0.7500
As1 0.0000 0.0000 0.0000
Ag1 0.5000 0.5000 0.5000

Offset from the most stable computed form   0 meV/atom
Total magnetization   0.00 μB per formula unit
Uncorrected energy   -20.2 eV for the cell shown
Symmetry   F-43m, No. 216



No. 8
The following is a DFT calculation (GGA-PBE) of a relaxed ScCuAgAs crystal.

a = 4.6193 Å, b = 4.6193 Å, c = 4.6193 Å
α = 60.00°, β = 60.00°, γ = 60.00°
Sites, in units of the cell vectors:
Sc1 0.5000 0.5000 0.5000
Ag1 0.2500 0.2500 0.2500
Cu1 0.7500 0.7500 0.7500
As1 0.0000 0.0000 0.0000

Offset from the most stable computed form   142 meV/atom
Total magnetization   0.00 μB per formula unit
Uncorrected energy   -18.0 eV for the cell shown
Symmetry   F-43m, No. 216



No. 9
The following is a DFT calculation (GGA-PBE) of a relaxed ScCuAgAs crystal.

a = 4.6021 Å, b = 4.6021 Å, c = 4.6021 Å
α = 60.00°, β = 60.00°, γ = 60.00°
Sites, in units of the cell vectors:
Ag1 0.5000 0.5000 0.5000
As1 0.0000 0.0000 0.0000
Sc1 0.7500 0.7500 0.7500
Cu1 0.2500 0.2500 0.2500

Offset from the most stable computed form   0 meV/atom
Total magnetization   0.00 μB per formula unit
Uncorrected energy   -18.6 eV for the cell shown
Symmetry   F-43m, No. 216



No. 10
The following is a DFT calculation (GGA-PBE) of a relaxed YCuAgAs crystal.

a = 4.7803 Å, b = 4.7803 Å, c = 4.7803 Å
α = 60.00°, β = 60.00°, γ = 60.00°
Sites, in units of the cell vectors:
Ag1 0.2500 0.2500 0.2500
As1 0.0000 0.0000 0.0000
Y1 0.5000 0.5000 0.5000
Cu1 0.7500 0.7500 0.7500

Offset from the most stable computed form   105 meV/atom
Total magnetization   0.00 μB per formula unit
Uncorrected energy   -18.4 eV for the cell shown
Symmetry   F-43m, No. 216



No. 11
The following is a DFT calculation (GGA-PBE) of a relaxed YCuAgAs crystal.

a = 4.7842 Å, b = 4.7842 Å, c = 4.7842 Å
α = 60.00°, β = 60.00°, γ = 60.00°
Sites, in units of the cell vectors:
Cu1 0.7500 0.7500 0.7500
Ag1 0.5000 0.5000 0.5000
Y1 0.2500 0.2500 0.2500
As1 0.0000 0.0000 0.0000

Offset from the most stable computed form   0 meV/atom
Total magnetization   0.00 μB per formula unit
Uncorrected energy   -18.9 eV for the cell shown
Symmetry   F-43m, No. 216



No. 12
The following is a DFT calculation (GGA-PBE) of a relaxed ZnCuAgAs crystal.

a = 4.5224 Å, b = 4.5224 Å, c = 4.5224 Å
α = 60.00°, β = 60.00°, γ = 60.00°
Sites, in units of the cell vectors:
As1 0.0000 0.0000 0.0000
Ag1 0.2500 0.2500 0.2500
Zn1 0.5000 0.5000 0.5000
Cu1 0.7500 0.7500 0.7500

Offset from the most stable computed form   13 meV/atom
Uncorrected energy   -11.7 eV for the cell shown
Symmetry   F-43m, No. 216



- Which of these has the highest uncorrected energy?
  ZnCuAgAs